3
Lattice="-2.702 1.602 0.456 0.208 -2.125 -2.349 -2.741 -6.135 5.306" Properties=species:S:1:pos:R:3 comment="PBE BaInW, optimized geometry" delta_e_f_ev_per_atom=1.0206 mass_density_g_cm3=9.69 spacegroup="P3m1 (156)" pbc="T T T"
Ba -2.715 -6.076 5.255
In -1.769 -3.136 0.535
W -3.493 -3.582 2.930


4
Lattice="-0.268 1.513 2.675 0.396 -3.033 0.400 10.288 1.376 0.251" Properties=species:S:1:pos:R:3 comment="PBE BaInW2, optimized geometry" delta_e_f_ev_per_atom=0.7464 mass_density_g_cm3=11.27 spacegroup="Cmm2 (35)" pbc="T T T"
Ba 5.015 0.671 0.122
In 8.180 0.325 1.735
W 0.220 0.029 0.005
W 2.145 -0.482 1.588


Repeat the first record exactly.
3
Lattice="-2.702 1.602 0.456 0.208 -2.125 -2.349 -2.741 -6.135 5.306" Properties=species:S:1:pos:R:3 comment="PBE BaInW, optimized geometry" delta_e_f_ev_per_atom=1.0206 mass_density_g_cm3=9.69 spacegroup="P3m1 (156)" pbc="T T T"
Ba -2.715 -6.076 5.255
In -1.769 -3.136 0.535
W -3.493 -3.582 2.930